Entry 1:
# Y3MgFe (PBE, relaxed)
data_Y3MgFe
_chemical_formula_sum 'Y6 Mg2 Fe2'
_cell_length_a 3.565
_cell_length_b 8.427
_cell_length_c 9.053
_cell_angle_alpha 87.01
_cell_angle_beta 89.97
_cell_angle_gamma 77.79
_space_group_name_H-M_alt 'P -1'
_space_group_IT_number 2
_space_group_name_Hall '-P 1'
loop_
_atom_site_label
_atom_site_fract_x
_atom_site_fract_y
_atom_site_fract_z
Y1 0.061 0.378 0.238
Y2 0.250 0.999 0.792
Y3 0.400 0.700 0.437
Mg1 0.406 0.686 0.067
Fe1 0.217 0.065 0.447
# - ΔE_f: -25 meV/atom


Entry 2:
# Li3Nd2Cu2 (PBE, relaxed)
data_Li3Nd2Cu2
_chemical_formula_sum 'Li6 Nd4 Cu4'
_cell_length_a 4.266
_cell_length_b 20.630
_cell_length_c 3.737
_cell_angle_alpha 90.00
_cell_angle_beta 90.00
_cell_angle_gamma 90.00
_space_group_name_H-M_alt 'C m m m'
_space_group_IT_number 65
_space_group_name_Hall '-C 2 2'
loop_
_atom_site_label
_atom_site_fract_x
_atom_site_fract_y
_atom_site_fract_z
Li1 0.000 0.000 0.000
Li2 0.000 0.429 0.500
Nd1 0.000 0.171 0.000
Cu1 0.000 0.286 0.500
# - ΔE_f: -56 meV/atom


Entry 3:
# Mn2GeS6 (PBE, relaxed)
data_Mn2GeS6
_chemical_formula_sum 'Mn4 Ge2 S12'
_cell_length_a 5.586
_cell_length_b 5.586
_cell_length_c 10.597
_cell_angle_alpha 90.00
_cell_angle_beta 90.00
_cell_angle_gamma 90.00
_space_group_name_H-M_alt 'P 42/m n m'
_space_group_IT_number 136
_space_group_name_Hall '-P 4n 2n'
loop_
_atom_site_label
_atom_site_fract_x
_atom_site_fract_y
_atom_site_fract_z
Mn1 0.000 0.000 0.166
Ge1 0.000 0.000 0.500
S1 0.186 0.186 0.000
S2 0.195 0.195 0.328
# - Formation energy without anion corrections: -0.233 eV per atom